## La3Zr2PaN6 (GGA-PBE)

Data for an optimized crystal structure of La3Zr2PaN6.

Calculated values
E_form (uncorrected), meV per atom: -1558
Magnetic moment, μB per formula unit: 0.0
SG: C2/m (12)
VASP energy, eV/cell: -110.0

abc: 5.999 5.999 6.260
angles: 99.13 99.13 120.06
Sites, in units of the cell vectors:
N 0.267 0.267 0.796
N 0.733 0.733 0.204
N 0.069 0.404 0.206
Pa 0.000 0.000 0.000
La 0.831 0.169 0.500
N 0.596 0.931 0.794
N 0.931 0.596 0.794
Zr 0.666 0.334 0.000
La 0.500 0.500 0.500
La 0.169 0.831 0.500
Zr 0.334 0.666 0.000
N 0.404 0.069 0.206



## La2PbN (GGA-PBE)

Data for an optimized crystal structure of La2PbN.

Calculated values
E_form (uncorrected), meV per atom: 166
Magnetic moment, μB per formula unit: 1.0
SG: Fm-3m (225)
VASP energy, eV/cell: -21.2

abc: 5.296 5.296 5.296
angles: 60.00 60.00 60.00
Each line ends with the local moment (μB).
Sites, in units of the cell vectors:
La 0.250 0.250 0.250  0.04
Pb 0.500 0.500 0.500  0.16
La 0.750 0.750 0.750  0.04
N 0.000 0.000 0.000  0.45



## La4Pb2N (GGA-PBE)

Data for an optimized crystal structure of La4Pb2N.

Calculated values
E_form (uncorrected), meV per atom: -822
Magnetic moment, μB per formula unit: 0.6
E above lowest polymorph, meV per atom: 0
SG: P2_1/m (11)
VASP energy, eV/cell: -82.4

abc: 6.894 7.107 9.865
angles: 90.00 111.11 90.00
Each line ends with the local moment (μB).
Sites, in units of the cell vectors:
Pb 0.692 0.750 0.033  -0.01
Pb 0.171 0.250 0.408  -0.02
La 0.137 0.750 0.955  0.03
La 0.479 0.503 0.719  0.07
La 0.927 0.250 0.657  0.07
Pb 0.308 0.250 0.967  -0.01
La 0.073 0.750 0.343  0.07
N 0.702 0.250 0.789  0.00
N 0.298 0.750 0.211  0.00
Pb 0.829 0.750 0.592  -0.02
La 0.521 0.497 0.281  0.07
La 0.863 0.250 0.045  0.03
La 0.521 0.003 0.281  0.07
La 0.479 0.997 0.719  0.07



## La2PbN (GGA-PBE)

Data for an optimized crystal structure of La2PbN.

Calculated values
E_form (uncorrected), meV per atom: -950
Magnetic moment, μB per formula unit: 0.0
SG: R-3m (166)
VASP energy, eV/cell: -25.7

abc: 3.765 3.765 8.717
angles: 77.53 77.53 60.00
Sites, in units of the cell vectors:
Pb 0.500 0.500 0.500
N 0.000 0.000 0.000
La 0.277 0.277 0.170
La 0.723 0.723 0.830



## La4Pb2N (GGA-PBE)

Data for an optimized crystal structure of La4Pb2N.

Calculated values
E_form (uncorrected), meV per atom: -816
Magnetic moment, μB per formula unit: 0.0
E above lowest polymorph, meV per atom: 6
SG: I4/mmm (139)
VASP energy, eV/cell: -41.2

abc: 5.041 5.041 9.244
angles: 74.18 74.18 90.00
Sites, in units of the cell vectors:
Pb 0.358 0.358 0.284
La 0.500 0.000 0.000
N 0.000 0.000 0.000
Pb 0.642 0.642 0.716
La 0.162 0.162 0.677
La 0.000 0.500 0.000
La 0.838 0.838 0.323



## La6Pb2N (GGA-PBE)

Data for an optimized crystal structure of La6Pb2N.

Calculated values
E_form (uncorrected), meV per atom: -430
Magnetic moment, μB per formula unit: 0.0
E above lowest polymorph, meV per atom: 189
SG: Amm2 (38)
VASP energy, eV/cell: -49.2

abc: 3.744 9.132 9.012
angles: 120.44 90.00 90.00
Sites, in units of the cell vectors:
La 0.500 0.563 0.000
La 0.000 0.251 0.000
N 0.500 0.063 0.000
Pb 0.000 0.674 0.359
La 0.500 0.000 0.635
La 0.000 0.788 0.807
La 0.500 0.365 0.365
La 0.000 0.981 0.193
Pb 0.000 0.315 0.641



## LaPbN2 (GGA-PBE)

Data for an optimized crystal structure of LaPbN2.

Calculated values
E_form (uncorrected), meV per atom: 574
Magnetic moment, μB per formula unit: 0.1
SG: R-3m (166)
VASP energy, eV/cell: -23.0

abc: 7.239 7.239 7.239
angles: 29.10 29.10 29.10
Each line ends with the local moment (μB).
Sites, in units of the cell vectors:
La 0.000 0.000 0.000  0.01
N 0.110 0.110 0.110  0.06
Pb 0.500 0.500 0.500  -0.01
N 0.890 0.890 0.890  0.06



## La8Pb2N3 (GGA-PBE)

Data for an optimized crystal structure of La8Pb2N3.

Calculated values
E_form (uncorrected), meV per atom: -801
Magnetic moment, μB per formula unit: 0.1
SG: P4/mmm (123)
VASP energy, eV/cell: -82.2

abc: 5.001 5.001 14.939
angles: 90.00 90.00 90.00
Sites, in units of the cell vectors:
N 0.500 0.500 0.000
La 0.000 0.500 0.363
La 0.500 0.000 0.637
N 0.500 0.500 0.336
Pb 0.000 0.000 0.817
La 0.500 0.500 0.824
La 0.000 0.500 0.000
La 0.000 0.500 0.637
Pb 0.000 0.000 0.183
La 0.500 0.000 0.363
La 0.500 0.000 0.000
N 0.500 0.500 0.664
La 0.500 0.500 0.176



## LaPbN2 (GGA-PBE)

Data for an optimized crystal structure of LaPbN2.

Calculated values
E_form (uncorrected), meV per atom: -72
Magnetic moment, μB per formula unit: 0.0
SG: R-3m (166)
VASP energy, eV/cell: -25.6

abc: 6.981 6.981 6.981
angles: 32.44 32.44 32.44
Sites, in units of the cell vectors:
La 0.500 0.500 0.500
N 0.107 0.107 0.107
Pb 0.000 0.000 0.000
N 0.893 0.893 0.893



## LaPbN (GGA-PBE)

Data for an optimized crystal structure of LaPbN.

Calculated values
E_form (uncorrected), meV per atom: -381
Magnetic moment, μB per formula unit: 0.0
E above lowest polymorph, meV per atom: 300
SG: Immm (71)
VASP energy, eV/cell: -36.2

abc: 3.903 5.552 8.657
angles: 108.70 103.03 90.00
Sites, in units of the cell vectors:
Pb 0.500 0.253 0.000
Pb 0.500 0.747 0.000
La 0.199 0.699 0.399
N 0.227 0.227 0.454
La 0.801 0.301 0.601
N 0.773 0.773 0.546



## LaPbN (GGA-PBE)

Data for an optimized crystal structure of LaPbN.

Calculated values
E_form (uncorrected), meV per atom: -680
Magnetic moment, μB per formula unit: 0.0
E above lowest polymorph, meV per atom: 0
SG: P2_1/m (11)
VASP energy, eV/cell: -38.0

abc: 4.251 7.412 5.806
angles: 113.76 90.00 90.00
Sites, in units of the cell vectors:
N 0.250 0.849 0.394
Pb 0.750 0.343 0.025
La 0.250 0.174 0.439
Pb 0.250 0.657 0.975
La 0.750 0.826 0.561
N 0.750 0.151 0.606



## La6Pb2N (GGA-PBE)

Data for an optimized crystal structure of La6Pb2N.

Calculated values
E_form (uncorrected), meV per atom: -619
Magnetic moment, μB per formula unit: 0.9
E above lowest polymorph, meV per atom: 0
SG: Fm-3m (225)
VASP energy, eV/cell: -50.9

abc: 7.282 7.282 7.283
angles: 60.00 60.00 60.00
Each line ends with the local moment (μB).
Sites, in units of the cell vectors:
Pb 0.250 0.250 0.250  0.00
La 0.256 0.256 0.743  0.06
La 0.744 0.256 0.256  0.06
La 0.744 0.744 0.257  0.06
La 0.256 0.744 0.744  0.06
Pb 0.750 0.750 0.750  0.00
La 0.256 0.744 0.256  0.06
La 0.744 0.256 0.744  0.06
N 0.500 0.500 0.500  0.03



## La6Pb3N2 (GGA-PBE)

Data for an optimized crystal structure of La6Pb3N2.

Calculated values
E_form (uncorrected), meV per atom: -902
Magnetic moment, μB per formula unit: 0.0
SG: I4/mmm (139)
VASP energy, eV/cell: -67.3

abc: 5.013 5.013 13.841
angles: 100.43 100.43 90.00
Sites, in units of the cell vectors:
N 0.607 0.607 0.213
La 0.694 0.694 0.387
N 0.393 0.393 0.787
La 0.914 0.414 0.829
Pb 0.177 0.177 0.353
Pb 0.823 0.823 0.647
Pb 0.000 0.000 0.000
La 0.086 0.586 0.171
La 0.414 0.914 0.829
La 0.586 0.086 0.171
La 0.306 0.306 0.613



## La2PbN (GGA-PBE)

Data for an optimized crystal structure of La2PbN.

Calculated values
E_form (uncorrected), meV per atom: -864
Magnetic moment, μB per formula unit: 0.0
SG: I-42d (122)
VASP energy, eV/cell: -50.7

abc: 7.353 7.353 6.742
angles: 56.95 56.95 90.00
Sites, in units of the cell vectors:
N 0.500 0.500 0.000
La 0.520 0.125 0.250
N 0.250 0.750 0.500
La 0.375 0.480 0.750
La 0.875 0.770 0.750
La 0.230 0.625 0.250
Pb 0.750 0.250 0.500
Pb 0.000 0.000 0.000



## La9Pb3N2 (GGA-PBE)

Data for an optimized crystal structure of La9Pb3N2.

Calculated values
E_form (uncorrected), meV per atom: -737
Magnetic moment, μB per formula unit: 2.2
SG: P-3m1 (164)
VASP energy, eV/cell: -82.4

abc: 7.269 7.269 8.895
angles: 90.00 90.00 120.00
Each line ends with the local moment (μB).
Sites, in units of the cell vectors:
N 0.333 0.667 0.832  0.03
Pb 0.667 0.333 0.666  0.00
La 0.655 0.828 0.671  0.14
La 0.172 0.828 0.671  0.14
La 0.000 0.500 0.000  0.00
La 0.828 0.655 0.329  0.14
Pb 0.000 0.000 0.000  0.00
La 0.500 0.000 0.000  0.00
Pb 0.333 0.667 0.334  0.00
La 0.500 0.500 0.000  0.00
La 0.828 0.172 0.329  0.14
N 0.667 0.333 0.168  0.03
La 0.172 0.345 0.671  0.14
La 0.345 0.172 0.329  0.14



## La10Pb4N3 (GGA-PBE)

Data for an optimized crystal structure of La10Pb4N3.

Calculated values
E_form (uncorrected), meV per atom: -898
Magnetic moment, μB per formula unit: 0.0
SG: I4/mmm (139)
VASP energy, eV/cell: -104.4

abc: 5.112 5.112 18.993
angles: 97.73 97.73 90.00
Sites, in units of the cell vectors:
La 0.068 0.068 0.136
La 0.791 0.791 0.582
N 0.142 0.142 0.284
La 0.500 0.000 0.000
La 0.137 0.637 0.273
La 0.209 0.209 0.418
Pb 0.432 0.432 0.864
La 0.637 0.137 0.273
La 0.363 0.863 0.727
La 0.000 0.500 0.000
La 0.863 0.363 0.727
Pb 0.300 0.300 0.600
La 0.932 0.932 0.864
N 0.858 0.858 0.716
Pb 0.568 0.568 0.136
Pb 0.700 0.700 0.400
N 0.000 0.000 0.000



## LaPbN2 (GGA-PBE)

Data for an optimized crystal structure of LaPbN2.

Calculated values
E_form (uncorrected), meV per atom: -188
Magnetic moment, μB per formula unit: 0.0
SG: I-42d (122)
VASP energy, eV/cell: -52.1

abc: 5.507 5.507 6.869
angles: 66.37 66.37 90.00
Sites, in units of the cell vectors:
Pb 0.750 0.250 0.500
N 0.875 0.879 0.750
Pb 0.000 0.000 0.000
N 0.375 0.371 0.750
N 0.629 0.125 0.250
N 0.121 0.625 0.250
La 0.250 0.750 0.500
La 0.500 0.500 0.000



## La2PbN (GGA-PBE)

Data for an optimized crystal structure of La2PbN.

Calculated values
E_form (uncorrected), meV per atom: -626
Magnetic moment, μB per formula unit: 0.0
SG: P4/mmm (123)
VASP energy, eV/cell: -24.4

abc: 3.306 3.306 8.308
angles: 90.00 90.00 90.00
Sites, in units of the cell vectors:
La 0.000 0.000 0.181
La 0.000 0.000 0.819
Pb 0.500 0.500 0.500
N 0.500 0.500 0.000



## La3Pb2N2 (GGA-PBE)

Data for an optimized crystal structure of La3Pb2N2.

Calculated values
E_form (uncorrected), meV per atom: -958
Magnetic moment, μB per formula unit: 0.0
SG: C2/m (12)
VASP energy, eV/cell: -45.6

abc: 4.041 7.307 9.470
angles: 131.85 90.00 106.05
Sites, in units of the cell vectors:
N 0.195 0.390 0.337
La 0.820 0.640 0.433
Pb 0.366 0.731 0.137
La 0.180 0.360 0.567
La 0.000 0.000 0.000
N 0.805 0.610 0.663
Pb 0.634 0.269 0.863



## La12Pb3N5 (GGA-PBE)

Data for an optimized crystal structure of La12Pb3N5.

Calculated values
E_form (uncorrected), meV per atom: -839
Magnetic moment, μB per formula unit: 0.0
SG: Ia-3d (230)
VASP energy, eV/cell: -514.7

abc: 14.417 14.417 14.417
angles: 109.47 109.47 109.47
Sites, in units of the cell vectors:
La 0.186 0.088 0.695
La 0.305 0.412 0.814
N 0.500 0.000 0.500
La 0.695 0.107 0.009
N 0.500 0.500 0.500
La 0.009 0.607 0.695
La 0.509 0.195 0.107
La 0.686 0.195 0.588
La 0.098 0.912 0.107
N 0.750 0.625 0.375
La 0.814 0.902 0.009
La 0.314 0.805 0.412
Pb 0.125 0.875 0.750
La 0.695 0.588 0.186
La 0.893 0.305 0.491
N 0.000 0.500 0.500
Pb 0.750 0.375 0.125
La 0.588 0.695 0.686
La 0.412 0.107 0.598
Pb 0.125 0.250 0.875
Pb 0.625 0.250 0.375
Pb 0.250 0.125 0.375
La 0.305 0.893 0.991
N 0.875 0.625 0.750
La 0.402 0.009 0.314
La 0.588 0.893 0.402
La 0.195 0.509 0.607
Pb 0.375 0.750 0.625
N 0.750 0.125 0.875
La 0.912 0.814 0.805
La 0.509 0.314 0.902
La 0.098 0.186 0.491
N 0.250 0.875 0.125
N 0.000 0.000 0.000
La 0.607 0.009 0.195
Pb 0.625 0.375 0.750
La 0.805 0.314 0.912
La 0.088 0.186 0.195
N 0.125 0.750 0.375
La 0.088 0.902 0.393
La 0.991 0.598 0.186
N 0.625 0.750 0.875
N 0.375 0.125 0.750
La 0.195 0.686 0.088
La 0.912 0.098 0.607
Pb 0.250 0.625 0.875
Pb 0.375 0.625 0.250
La 0.491 0.805 0.893
La 0.412 0.305 0.314
La 0.491 0.686 0.098
La 0.902 0.814 0.509
N 0.125 0.375 0.250
La 0.607 0.598 0.912
La 0.186 0.098 0.991
La 0.805 0.491 0.393
La 0.686 0.491 0.598
La 0.107 0.695 0.509
La 0.598 0.991 0.686
La 0.393 0.402 0.088
La 0.314 0.509 0.402
Pb 0.750 0.875 0.625
N 0.500 0.500 0.000
Pb 0.875 0.125 0.250
La 0.107 0.412 0.098
La 0.893 0.588 0.902
La 0.902 0.088 0.893
La 0.991 0.393 0.305
La 0.598 0.607 0.412
N 0.000 0.500 0.000
La 0.814 0.912 0.305
N 0.875 0.250 0.625
La 0.402 0.393 0.588
N 0.000 0.000 0.500
N 0.375 0.250 0.125
La 0.009 0.402 0.814
N 0.500 0.000 0.000
N 0.625 0.875 0.250
N 0.250 0.375 0.625
Pb 0.875 0.750 0.125
La 0.393 0.991 0.805